# 1
Ho4Er4Sc | PBE-GGA | optimized geometry

Cell: 5.2229 5.2229 23.0510 Å, 90.00 90.00 90.00°
Closest atoms and distances in Å follow each position.
Space group I-42m (No. 121)
Unique sites:
Ho1 0.0000 0.0000 0.2495  4 Er 3.42-3.43, 4 Ho 3.69
Ho2 0.0000 0.5000 0.0000  2 Sc 2.61
Er1 0.2481 0.2481 0.3751  1 Sc 3.41, 4 Ho 3.42-3.43, 4 Er 3.66-3.72
Sc1 0.0000 0.0000 0.5000  4 Ho 2.61

Results
Crystal system: tetragonal
Magnetization, μB/f.u.: 2.58
V, Å³/f.u.: 314.40
E_form, eV per formula unit: 6.51
Energy above the most stable polymorph in this dataset, eV per atom: 0.691

# 2
Ho6ErSc | PBE-GGA | optimized geometry

Cell: 6.4286 6.6740 6.7552 Å, 118.38 102.38 91.98°
Closest atoms and distances in Å follow each position.
Space group P-1 (No. 2)
Unique sites:
Ho1 0.2273 0.4049 0.4692  7 Ho 3.26-3.62, 1 Er 3.38, 1 Sc 3.55
Ho2 0.2482 0.9403 0.9965  7 Ho 3.24-3.62, 1 Sc 3.31, 1 Er 3.41
Ho3 0.2618 0.9194 0.5108  6 Ho 3.24-3.56, 1 Sc 3.25
Er1 0.5000 0.5000 0.0000  2 Sc 3.21, 4 Ho 3.38-3.41
Sc1 0.0000 0.5000 0.0000  2 Er 3.21, 6 Ho 3.25-3.55

Results
Crystal system: triclinic
Magnetization, μB/f.u.: 0.00
V, Å³/f.u.: 245.89
E_form, eV per formula unit: 1.68
Energy above the most stable polymorph in this dataset, eV per atom: 0.016

# 3
Ho6Er3Sc | PBE-GGA | optimized geometry

Cell: 9.6379 9.6379 11.6289 Å, 90.00 90.00 120.00°
Closest atoms and distances in Å follow each position.
Space group R3 (No. 146, hexagonal axes)
Unique sites:
Ho1 0.0019 0.3421 0.0000  1 Sc 3.26, 2 Er 3.29-3.41
Ho2 0.0127 0.6689 0.8329  3 Er 3.29-3.56, 1 Sc 3.31, 1 Ho 3.66
Er1 0.0000 0.0000 0.0166  1 Er 2.87, 1 Sc 2.91
Er2 0.0000 0.0000 0.5094  1 Sc 2.82, 1 Er 3.03
Er3 0.0000 0.0000 0.7698  2 Er 2.87-3.03
Sc1 0.0000 0.0000 0.2667  2 Er 2.82-2.91

Results
Crystal system: trigonal
Magnetization, μB/f.u.: 0.02
V, Å³/f.u.: 311.83
E_form, eV per formula unit: 2.47
Energy above the most stable polymorph in this dataset, eV per atom: 0.103

# 4
Ho10Er4Sc | PBE-GGA | optimized geometry

Cell: 9.6607 9.6607 10.2215 Å, 90.00 90.00 90.00°
Closest atoms and distances in Å follow each position.
Space group I4/m (No. 87)
Unique sites:
Ho1 0.0000 0.5000 0.2500  4 Ho 3.10, 4 Er 3.13
Ho2 0.1108 0.2134 0.1621  5 Ho 3.10-3.31
Er1 0.0675 0.3254 0.5000  2 Ho 3.13, 1 Sc 3.21
Sc1 0.0000 0.0000 0.5000  4 Er 3.21

Results
Crystal system: tetragonal
Magnetization, μB/f.u.: 0.00
V, Å³/f.u.: 476.98
E_form, eV per formula unit: 5.74

# 5
Ho2ErSc2 | PBE-GGA | optimized geometry

Cell: 3.3610 5.4858 15.7423 Å, 90.00 90.00 90.00°
Closest atoms and distances in Å follow each position.
Space group Amm2 (No. 38)
Unique sites:
Ho1 0.0000 0.0000 0.0000  4 Sc 3.30-3.37, 4 Ho 3.36-3.56, 2 Er 3.38
Ho2 0.5000 0.0000 0.1992  4 Sc 3.29-3.35, 4 Ho 3.36-3.56, 4 Er 3.42
Er1 0.0000 0.0000 0.6259  2 Er 3.36, 6 Ho 3.38-3.42, 2 Sc 3.41
Sc1 0.0000 0.0000 0.3836  4 Ho 3.30-3.35, 6 Sc 3.36-3.40
Sc2 0.5000 0.0000 0.8142  4 Ho 3.29-3.37, 6 Sc 3.36-3.40, 2 Er 3.41

Results
Crystal system: orthorhombic
Magnetization, μB/f.u.: 0.58
V, Å³/f.u.: 145.12
E_form, eV per formula unit: 0.76
Energy above the most stable polymorph in this dataset, eV per atom: 0.076

# 6
Ho8Er3Sc4 | PBE-GGA | optimized geometry

Cell: 13.0056 11.7819 6.5670 Å, 90.00 116.04 90.00°
Closest atoms and distances in Å follow each position.
Space group C2/m (No. 12)
Unique sites:
Ho1 0.0000 0.2033 0.0000  2 Er 3.30, 4 Ho 3.35-3.37, 3 Sc 3.50
Ho2 0.0000 0.2607 0.5000  1 Sc 2.82, 1 Er 3.07
Ho3 0.2027 0.0000 0.1663  4 Ho 3.23-3.50, 2 Er 3.29, 3 Sc 3.51-3.56
Ho4 0.2346 0.5000 0.3003  1 Sc 2.81, 1 Er 3.11
Er1 0.0000 0.0000 0.5000  4 Ho 3.07-3.11
Er2 0.2500 0.2500 0.0000  2 Sc 3.28, 8 Ho 3.29-3.60
Sc1 0.0000 0.5000 0.0000  2 Ho 2.81
Sc2 0.0000 0.5000 0.5000  2 Ho 2.82
Sc3 0.2500 0.2500 0.5000  8 Ho 3.19-3.56, 2 Er 3.28

Results
Crystal system: monoclinic
Magnetization, μB/f.u.: 0.60
V, Å³/f.u.: 452.06
E_form, eV per formula unit: 5.88

> Look up the V of the third one.

311.83 Å³/f.u.

Repeat the sixth record exactly.
Ho8Er3Sc4 | PBE-GGA | optimized geometry

Cell: 13.0056 11.7819 6.5670 Å, 90.00 116.04 90.00°
Closest atoms and distances in Å follow each position.
Space group C2/m (No. 12)
Unique sites:
Ho1 0.0000 0.2033 0.0000  2 Er 3.30, 4 Ho 3.35-3.37, 3 Sc 3.50
Ho2 0.0000 0.2607 0.5000  1 Sc 2.82, 1 Er 3.07
Ho3 0.2027 0.0000 0.1663  4 Ho 3.23-3.50, 2 Er 3.29, 3 Sc 3.51-3.56
Ho4 0.2346 0.5000 0.3003  1 Sc 2.81, 1 Er 3.11
Er1 0.0000 0.0000 0.5000  4 Ho 3.07-3.11
Er2 0.2500 0.2500 0.0000  2 Sc 3.28, 8 Ho 3.29-3.60
Sc1 0.0000 0.5000 0.0000  2 Ho 2.81
Sc2 0.0000 0.5000 0.5000  2 Ho 2.82
Sc3 0.2500 0.2500 0.5000  8 Ho 3.19-3.56, 2 Er 3.28

Results
Crystal system: monoclinic
Magnetization, μB/f.u.: 0.60
V, Å³/f.u.: 452.06
E_form, eV per formula unit: 5.88

> The highest E_form belongs to which entry?

Ho4Er4Sc